Density functional theory data (PBE) for an optimized crystal structure of SrGaI4.

Structure (CIF):
```
data_SrGaI4
_chemical_formula_sum 'Sr2 Ga2 I8'
_symmetry_space_group_name_H-M 'P 1'
_symmetry_Int_Tables_number 1
_cell_length_a 8.190
_cell_length_b 8.190
_cell_length_c 8.584
_cell_angle_alpha 92.19
_cell_angle_beta 92.19
_cell_angle_gamma 72.94
loop_
_symmetry_equiv_pos_as_xyz
'x,y,z'
loop_
_atom_site_label
_atom_site_fract_x
_atom_site_fract_y
_atom_site_fract_z
Sr1 0.000 0.500 0.000
Sr2 0.500 0.000 0.500
Ga1 0.011 0.989 0.750
Ga2 0.989 0.011 0.250
I1 0.213 0.249 0.272
I2 0.220 0.780 0.007
I3 0.220 0.780 0.493
I4 0.249 0.213 0.772
I5 0.751 0.787 0.228
I6 0.780 0.220 0.507
I7 0.780 0.220 0.993
I8 0.787 0.751 0.728
```

Calculated values
**E_form (uncorrected)**: -0.955 eV per atom
**Symmetry**: C2/c